Material: SbH2Br8
Method: DFT, PBE-GGA
State: relaxed

Total energy ... -2.410 eV/atom

abc: 12.1861 8.6606 8.4403
angles: 90.00 96.22 90.00
Space group C2/m (No. 12)
Unique sites:
Sb (0.0000, 0.0000, 0.0000) [2 per cell]
H (0.2411, 0.0000, 0.3830) [4 per cell]
Br (0.0968, 0.2114, 0.1831) [8 per cell]
Br (0.1575, 0.5000, 0.5114) [4 per cell]
Br (0.1633, 0.0000, 0.8269) [4 per cell]